No. 1
Compound: Sc6GeIr2
Source: OQMD
Functional: PBE
Structure: optimized geometry

The space group is P-62m (No. 189) and the conventional cell measures 7.2616, 7.2616 and 3.9492 Å, with angles of 90.00, 90.00 and 120.00 degrees. The distinct sites, in fractional coordinates, are Sc at (0.0000, 0.4117, 0.0000), Sc at (0.0000, 0.7371, 0.5000), Ge at (0.0000, 0.0000, 0.0000) and Ir at (0.3333, 0.6667, 0.5000).

The calculation puts the total DFT energy (no corrections) at -7.35 eV per atom.

---

No. 2
Compound: Sc6Ge2Ir
Source: OQMD
Functional: PBE
Structure: optimized geometry

The space group is P-62m (No. 189) and the conventional cell measures 7.3658, 7.3658 and 3.9137 Å, with angles of 90.00, 90.00 and 120.00 degrees. The distinct sites, in fractional coordinates, are Sc at (0.0000, 0.4038, 0.0000), Sc at (0.0000, 0.7482, 0.5000), Ge at (0.3333, 0.6667, 0.5000) and Ir at (0.0000, 0.0000, 0.0000).

The calculation puts the total DFT energy (no corrections) at -6.96 eV per atom.

---

Record order is preserved below.
M_tot: 0.59; 1.06 μB per formula unit